PmMg2Cu (GGA-PBE, optimized geometry); total energy = -3.063 eV per atom
1.0
2.2055 -5.0434 0.0000
2.2055 5.0434 0.0000
0.0000 0.0000 8.0539
Mg Cu Pm
4 2 2
direct
0.8493 0.1507 0.0554
0.1507 0.8493 0.5554
0.8493 0.1507 0.4446
0.1507 0.8493 0.9446
0.7349 0.2651 0.7500
0.2651 0.7349 0.2500
0.5546 0.4454 0.2500
0.4454 0.5546 0.7500